# Pr9SmCd2

Pr9SmCd2 after structural relaxation (PBE, Alexandria).

Properties
Final energy (eV for the cell shown): -50.3
Crystal system: tetragonal

Geometry as CIF:
```
data_Pr9SmCd2
_chemical_formula_sum 'Pr9 Sm1 Cd2'
_cell_length_a 5.074
_cell_length_b 5.074
_cell_length_c 15.391
_cell_angle_alpha 90.00
_cell_angle_beta 90.00
_cell_angle_gamma 90.00
_symmetry_space_group_name_H-M 'P 1'
_symmetry_Int_Tables_number 1
loop_
_symmetry_equiv_pos_as_xyz
'x,y,z'
loop_
_atom_site_label
_atom_site_type_symbol
_atom_site_fract_x
_atom_site_fract_y
_atom_site_fract_z
Pr1 Pr 0.000 0.000 0.000
Pr2 Pr 0.000 0.000 0.337
Pr3 Pr 0.000 0.000 0.663
Pr4 Pr 0.000 0.500 0.173
Pr5 Pr 0.000 0.500 0.500
Pr6 Pr 0.000 0.500 0.827
Pr7 Pr 0.500 0.000 0.173
Pr8 Pr 0.500 0.000 0.500
Pr9 Pr 0.500 0.000 0.827
Sm1 Sm 0.500 0.500 0.000
Cd1 Cd 0.500 0.500 0.340
Cd2 Cd 0.500 0.500 0.660
```



# Ba2InAg

Ba2InAg after structural relaxation (PBE, Alexandria).

Properties
Final energy (eV for the cell shown): -10.0
Crystal system: orthorhombic

Geometry as CIF:
```
data_Ba2InAg
_chemical_formula_sum 'Ba2 In1 Ag1'
_cell_length_a 4.368
_cell_length_b 5.597
_cell_length_c 7.104
_cell_angle_alpha 90.00
_cell_angle_beta 90.00
_cell_angle_gamma 90.00
_symmetry_space_group_name_H-M 'P 1'
_symmetry_Int_Tables_number 1
loop_
_symmetry_equiv_pos_as_xyz
'x,y,z'
loop_
_atom_site_label
_atom_site_type_symbol
_atom_site_fract_x
_atom_site_fract_y
_atom_site_fract_z
Ba1 Ba 0.000 0.000 0.000
Ba2 Ba 0.500 0.500 0.488
In1 In 0.500 0.500 0.987
Ag1 Ag 0.000 0.000 0.500
```